# 1
Below is crystalline CaGa2AsSe6 at its relaxed geometry, with properties calculated at the PBE level.

Values from the calculation:
- Crystal system: monoclinic
- DOS(E_F): 5.1 states/eV/f.u.
- Formation energy (no corrections): -585 meV/atom
- Total DFT energy (no corrections): -78.9 eV for the cell shown
- SG: No. 15

Cell lengths 7.5382, 8.9419, 8.9419 Å; angles 83.23, 73.32, 73.32 degrees
With the nearest neighbours (Å) after each atom.
Element x y z (fractional)
Ga1 0.3111 0.7729 0.6052  4 Se 2.40-2.52
Ga2 0.8111 0.6052 0.7729  4 Se 2.40-2.52
Ga3 0.6889 0.2271 0.3948  4 Se 2.40-2.52
Ga4 0.1889 0.3948 0.2271  4 Se 2.40-2.52
Se1 0.6101 0.0651 0.6248  1 Ga 2.40
Se2 0.1101 0.6248 0.0651  1 Ga 2.40
Se3 0.1586 0.9651 0.8203  1 As 2.47, 1 Ga 2.52
Se4 0.9539 0.3102 0.4452  2 Ga 2.44-2.49
Se5 0.3899 0.9349 0.3752  1 Ga 2.40
Se6 0.8899 0.3752 0.9349  1 Ga 2.40
Se7 0.8414 0.0349 0.1797  1 As 2.47, 1 Ga 2.52
Se8 0.0461 0.6898 0.5548  2 Ga 2.44-2.49
Se9 0.6586 0.8203 0.9651  1 As 2.47, 1 Ga 2.52
Se10 0.3414 0.1797 0.0349  1 As 2.47, 1 Ga 2.52
Se11 0.4539 0.4452 0.3102  2 Ga 2.44-2.49
Se12 0.5461 0.5548 0.6898  2 Ga 2.44-2.49
Ca1 0.7500 0.1356 0.8644  6 Se 2.85-3.06
Ca2 0.2500 0.8644 0.1356  6 Se 2.85-3.06
As1 0.2500 0.2138 0.7862  4 Se 2.47-2.71
As2 0.7500 0.7862 0.2138  4 Se 2.47-2.71

---

# 2
Below is crystalline CaGaAsSe2 at its relaxed geometry, with properties calculated at the PBE level.

Values from the calculation:
- Crystal system: tetragonal
- DOS(E_F): 1.8 states/eV/f.u.
- Formation energy (no corrections): -94 meV/atom
- Total DFT energy (no corrections): -17.1 eV for the cell shown
- SG: No. 123

Cell lengths 5.3050, 5.2989, 5.3050 Å; angles 90.00, 90.00, 90.00 degrees
With the nearest neighbours (Å) after each atom.
Element x y z (fractional)
Ga1 0.5000 0.5000 0.5000  8 Se 3.75, 4 Ca 3.75
Ca1 0.0000 0.5000 0.0000  2 As 2.65
Se1 0.0000 0.0000 0.5000  2 As 2.65
Se2 0.5000 0.0000 0.0000  2 As 2.65
As1 0.0000 0.0000 0.0000  2 Ca 2.65, 4 Se 2.65

---

# 3
Below is crystalline CaGaAsSe2 at its relaxed geometry, with properties calculated at the PBE level.

Values from the calculation:
- Crystal system: tetragonal
- DOS(E_F): 5.5 states/eV/f.u.
- Formation energy (no corrections): -337 meV/atom
- Total DFT energy (no corrections): -18.3 eV for the cell shown
- SG: No. 123

Cell lengths 5.1714, 5.1714, 4.7825 Å; angles 90.00, 90.00, 90.00 degrees
With the nearest neighbours (Å) after each atom.
Element x y z (fractional)
Ca1 0.5000 0.5000 0.5000  8 Se 3.52, 4 As 3.66
As1 0.0000 0.0000 0.5000  2 Ga 2.39
Ga1 0.0000 0.0000 0.0000  2 As 2.39, 4 Se 2.59
Se1 0.5000 0.0000 0.0000  2 Ga 2.59
Se2 0.0000 0.5000 0.0000  2 Ga 2.59

---

# 4
Below is crystalline SrCaGaAs2 at its relaxed geometry, with properties calculated at the PBE level.

Values from the calculation:
- Crystal system: monoclinic
- DOS(E_F): 3.1 states/eV/f.u.
- Total DFT energy (no corrections): -39.0 eV for the cell shown
- Formation enthalpy at 0 K: -16.183 kcal/mol of atoms
- SG: No. 13

Cell lengths 5.2374, 7.2008, 7.9322 Å; angles 104.13, 90.00, 90.00 degrees
With the nearest neighbours (Å) after each atom.
Element x y z (fractional)
Ca1 0.4797 0.0000 0.2500  4 As 2.99-3.01, 2 Ga 3.20
Ca2 0.5203 0.0000 0.7500  4 As 2.99-3.01, 2 Ga 3.20
Ga1 0.0000 0.0000 0.0000  2 As 2.38
Ga2 0.0000 0.0000 0.5000  2 As 2.38
Sr1 0.8006 0.5000 0.2500  6 As 3.17-3.40
Sr2 0.1994 0.5000 0.7500  6 As 3.17-3.40
As1 0.2735 0.2724 0.0503  1 Ga 2.38
As2 0.7265 0.7276 0.9497  1 Ga 2.38
As3 0.2735 0.7276 0.4497  1 Ga 2.38
As4 0.7265 0.2724 0.5503  1 Ga 2.38

---

# 5
Below is crystalline Ca3U3GaAs8 at its relaxed geometry, with properties calculated at the PBE level.

Values from the calculation:
- Crystal system: monoclinic
- DOS(E_F): 18.7 states/eV/f.u.
- Total DFT energy (no corrections): -89.8 eV for the cell shown
- Formation enthalpy at 0 K: -14.878 kcal/mol of atoms
- SG: No. 12

Cell lengths 8.1645, 8.1625, 8.3384 Å; angles 119.30, 90.00, 120.01 degrees
With the nearest neighbours (Å) after each atom.
Element x y z (fractional)
U1 0.0000 0.5000 0.5000  6 As 2.81-2.85
U2 0.5000 0.0000 0.5000  6 As 2.80-2.85
U3 0.5000 0.5000 0.5000  6 As 2.81-2.85
As1 0.7441 0.4882 0.7331  3 U 2.85, 3 Ca 2.99
As2 0.2559 0.5118 0.2669  3 U 2.85, 3 Ca 2.99
As3 0.2448 0.9811 0.7252  2 U 2.80-2.81, 1 Ga 2.85, 2 Ca 3.03-3.04
As4 0.2435 0.4871 0.7247  2 U 2.81, 1 Ga 2.84, 2 Ca 3.03
As5 0.7565 0.5129 0.2753  2 U 2.81, 1 Ga 2.84, 2 Ca 3.03
As6 0.2637 0.0189 0.2748  2 U 2.80-2.81, 1 Ga 2.85, 2 Ca 3.03-3.04
As7 0.7552 0.0189 0.2748  2 U 2.80-2.81, 1 Ga 2.85, 2 Ca 3.03-3.04
As8 0.7363 0.9811 0.7252  2 U 2.80-2.81, 1 Ga 2.85, 2 Ca 3.03-3.04
Ca1 0.0000 0.0000 0.0000  6 As 2.99-3.04
Ca2 0.5000 0.5000 0.0000  6 As 2.99-3.03
Ca3 0.0000 0.5000 0.0000  6 As 2.99-3.03
Ga1 0.0000 0.0000 0.5000  6 As 2.84-2.85

---

# 6
Below is crystalline CaY2GaAs at its relaxed geometry, with properties calculated at the PBE level.

Values from the calculation:
- Crystal system: tetragonal
- DOS(E_F): 3.6 states/eV/f.u.
- Total DFT energy (no corrections): -22.2 eV for the cell shown
- Formation enthalpy at 0 K: 1.706 kcal/mol of atoms
- SG: No. 123

Cell lengths 5.4971, 5.2238, 5.4971 Å; angles 90.00, 90.00, 90.00 degrees
With the nearest neighbours (Å) after each atom.
Element x y z (fractional)
Y1 0.5000 0.0000 0.0000  2 Ga 2.75
Y2 0.0000 0.0000 0.5000  2 Ga 2.75
Ca1 0.5000 0.5000 0.5000  8 Y 3.79, 4 As 3.89
As1 0.0000 0.5000 0.0000  2 Ga 2.61
Ga1 0.0000 0.0000 0.0000  2 As 2.61, 4 Y 2.75

---

# 7
Below is crystalline CaGdAs2 at its relaxed geometry, with properties calculated at the PBE level.

Values from the calculation:
- Crystal system: trigonal
- DOS(E_F): 3.2 states/eV/f.u.
- Total DFT energy (no corrections): -30.1 eV for the cell shown
- Formation enthalpy at 0 K: -27.467 kcal/mol of atoms
- SG: No. 166

Cell lengths 4.1887, 4.1887, 7.3486 Å; angles 73.44, 73.44, 60.00 degrees
With the nearest neighbours (Å) after each atom.
Element x y z (fractional)
Gd1 0.5000 0.5000 0.5000  6 As 2.93
As1 0.2460 0.2460 0.2619  3 Gd 2.93, 3 Ca 3.03
As2 0.7540 0.7540 0.7381  3 Gd 2.93, 3 Ca 3.03
Ca1 0.0000 0.0000 0.0000  6 As 3.03

---

# 8
Below is crystalline CaGdAsPd at its relaxed geometry, with properties calculated at the PBE level.

Values from the calculation:
- Crystal system: cubic
- DOS(E_F): 2.4 states/eV/f.u.
- Total DFT energy (no corrections): -29.7 eV for the cell shown
- Formation enthalpy at 0 K: -21.565 kcal/mol of atoms
- SG: No. 216

Cell lengths 5.0362, 5.0362, 5.0362 Å; angles 60.00, 60.00, 60.00 degrees
With the nearest neighbours (Å) after each atom.
Element x y z (fractional)
Pd1 0.5000 0.5000 0.5000  4 Gd 3.08, 4 Ca 3.08
As1 0.0000 0.0000 0.0000  4 Gd 3.08, 4 Ca 3.08
Gd1 0.7500 0.7500 0.7500  4 As 3.08, 4 Pd 3.08
Ca1 0.2500 0.2500 0.2500  4 As 3.08, 4 Pd 3.08

---

# 9
Below is crystalline CaGdAsPt at its relaxed geometry, with properties calculated at the PBE level.

Values from the calculation:
- Crystal system: cubic
- DOS(E_F): 2.0 states/eV/f.u.
- Total DFT energy (no corrections): -31.0 eV for the cell shown
- Formation enthalpy at 0 K: -24.460 kcal/mol of atoms
- SG: No. 216

Cell lengths 5.0315, 5.0315, 5.0315 Å; angles 60.00, 60.00, 60.00 degrees
With the nearest neighbours (Å) after each atom.
Element x y z (fractional)
As1 0.7500 0.7500 0.7500  4 Ca 3.08, 4 Gd 3.08
Gd1 0.0000 0.0000 0.0000  4 As 3.08, 4 Pt 3.08
Ca1 0.5000 0.5000 0.5000  4 As 3.08, 4 Pt 3.08
Pt1 0.2500 0.2500 0.2500  4 Gd 3.08, 4 Ca 3.08

---

# 10
Below is crystalline Ca3Ge2As4 at its relaxed geometry, with properties calculated at the PBE level.

Values from the calculation:
- Crystal system: monoclinic
- Total DFT energy (no corrections): -163.5 eV for the cell shown
- Formation enthalpy at 0 K: -18.058 kcal/mol of atoms
- SG: No. 14

Cell lengths 18.0916, 7.3226, 7.3487 Å; angles 68.28, 90.00, 90.00 degrees
With the nearest neighbours (Å) after each atom.
Element x y z (fractional)
Ca1 0.4427 0.5120 0.7443  6 As 3.00-3.18, 1 Ge 3.35
Ca2 0.9370 0.5017 0.7363  6 As 3.02-3.12
Ca3 0.1832 0.5134 0.7834  6 As 2.99-3.11
Ca4 0.5630 0.0017 0.7363  6 As 3.02-3.12
Ca5 0.4370 0.9983 0.2637  6 As 3.02-3.12
Ca6 0.6832 0.9866 0.2166  6 As 2.99-3.11
Ca7 0.3168 0.0134 0.7834  6 As 2.99-3.11
Ca8 0.8168 0.4866 0.2166  6 As 2.99-3.11
Ca9 0.5573 0.4880 0.2557  6 As 3.00-3.18, 1 Ge 3.35
Ca10 0.9427 0.9880 0.2557  6 As 3.00-3.18, 1 Ge 3.35
Ca11 0.0573 0.0120 0.7443  6 As 3.00-3.18, 1 Ge 3.35
Ca12 0.0630 0.4983 0.2637  6 As 3.02-3.12
As1 0.6863 0.7222 0.9730  2 Ge 2.48-2.51
As2 0.8137 0.2222 0.9730  2 Ge 2.48-2.51
As3 0.5588 0.2422 0.9990  1 Ge 2.43
As4 0.9343 0.2490 0.4916  1 Ge 2.45
As5 0.4343 0.2510 0.5084  1 Ge 2.45
As6 0.3137 0.2778 0.0270  2 Ge 2.48-2.51
As7 0.1863 0.7778 0.0270  2 Ge 2.48-2.51
As8 0.8052 0.7330 0.4812  2 Ge 2.49-2.50
As9 0.9412 0.7422 0.9990  1 Ge 2.43
As10 0.5657 0.7490 0.4916  1 Ge 2.45
As11 0.0588 0.2578 0.0010  1 Ge 2.43
As12 0.6948 0.2330 0.4812  2 Ge 2.49-2.50
As13 0.0657 0.7510 0.5084  1 Ge 2.45
As14 0.4412 0.7578 0.0010  1 Ge 2.43
As15 0.1948 0.2670 0.5188  2 Ge 2.49-2.50
As16 0.3052 0.7670 0.5188  2 Ge 2.49-2.50
Ge1 0.6267 0.5308 0.7907  3 As 2.43-2.51, 1 Ge 2.47
Ge2 0.7588 0.9204 0.6804  1 Ge 2.47, 3 As 2.48-2.50
Ge3 0.8733 0.0308 0.7907  3 As 2.43-2.51, 1 Ge 2.47
Ge4 0.2412 0.0796 0.3196  1 Ge 2.47, 3 As 2.48-2.50
Ge5 0.3733 0.4692 0.2093  3 As 2.43-2.51, 1 Ge 2.47
Ge6 0.1267 0.9692 0.2093  3 As 2.43-2.51, 1 Ge 2.47
Ge7 0.2588 0.5796 0.3196  1 Ge 2.47, 3 As 2.48-2.50
Ge8 0.7412 0.4204 0.6804  1 Ge 2.47, 3 As 2.48-2.50

---

# 11
Below is crystalline CaGeAs at its relaxed geometry, with properties calculated at the PBE level.

Values from the calculation:
- Crystal system: trigonal
- DOS(E_F): 1.3 states/eV/f.u.
- Total DFT energy (no corrections): -12.8 eV for the cell shown
- Formation enthalpy at 0 K: -11.746 kcal/mol of atoms
- SG: No. 156

Cell lengths 4.0785, 4.5244, 4.5244 Å; angles 120.00, 90.00, 90.00 degrees
With the nearest neighbours (Å) after each atom.
Element x y z (fractional)
Ca1 0.6667 0.6667 0.3333  6 As 3.31-3.32, 6 Ge 3.31-3.32
Ge1 0.1660 0.0000 0.0000  3 As 2.61
As1 0.1674 0.3333 0.6667  3 Ge 2.61

---

# 12
Below is crystalline Ca3GeAs at its relaxed geometry, with properties calculated at the PBE level.

Values from the calculation:
- Crystal system: cubic
- DOS(E_F): 4.3 states/eV/f.u.
- Total DFT energy (no corrections): -17.8 eV for the cell shown
- Formation enthalpy at 0 K: -11.483 kcal/mol of atoms
- SG: No. 221

Cell lengths 5.5013, 5.5013, 5.5013 Å; angles 90.00, 90.00, 90.00 degrees
With the nearest neighbours (Å) after each atom.
Element x y z (fractional)
Ge1 0.5000 0.5000 0.5000  12 Ca 3.89
Ca1 0.0000 0.0000 0.5000  2 As 2.75
Ca2 0.0000 0.5000 0.0000  2 As 2.75
Ca3 0.5000 0.0000 0.0000  2 As 2.75
As1 0.0000 0.0000 0.0000  6 Ca 2.75

---

Which of these has the lowest total DFT energy (no corrections)?
Ca3Ge2As4

---

What is the formula in the seventh record?
CaGdAs2

---

The highest total DFT energy (no corrections) belongs to which entry?
CaGeAs

---

Please write out number 5 again, unchanged.
Below is crystalline Ca3U3GaAs8 at its relaxed geometry, with properties calculated at the PBE level.

Values from the calculation:
- Crystal system: monoclinic
- DOS(E_F): 18.7 states/eV/f.u.
- Total DFT energy (no corrections): -89.8 eV for the cell shown
- Formation enthalpy at 0 K: -14.878 kcal/mol of atoms
- SG: No. 12

Cell lengths 8.1645, 8.1625, 8.3384 Å; angles 119.30, 90.00, 120.01 degrees
With the nearest neighbours (Å) after each atom.
Element x y z (fractional)
U1 0.0000 0.5000 0.5000  6 As 2.81-2.85
U2 0.5000 0.0000 0.5000  6 As 2.80-2.85
U3 0.5000 0.5000 0.5000  6 As 2.81-2.85
As1 0.7441 0.4882 0.7331  3 U 2.85, 3 Ca 2.99
As2 0.2559 0.5118 0.2669  3 U 2.85, 3 Ca 2.99
As3 0.2448 0.9811 0.7252  2 U 2.80-2.81, 1 Ga 2.85, 2 Ca 3.03-3.04
As4 0.2435 0.4871 0.7247  2 U 2.81, 1 Ga 2.84, 2 Ca 3.03
As5 0.7565 0.5129 0.2753  2 U 2.81, 1 Ga 2.84, 2 Ca 3.03
As6 0.2637 0.0189 0.2748  2 U 2.80-2.81, 1 Ga 2.85, 2 Ca 3.03-3.04
As7 0.7552 0.0189 0.2748  2 U 2.80-2.81, 1 Ga 2.85, 2 Ca 3.03-3.04
As8 0.7363 0.9811 0.7252  2 U 2.80-2.81, 1 Ga 2.85, 2 Ca 3.03-3.04
Ca1 0.0000 0.0000 0.0000  6 As 2.99-3.04
Ca2 0.5000 0.5000 0.0000  6 As 2.99-3.03
Ca3 0.0000 0.5000 0.0000  6 As 2.99-3.03
Ga1 0.0000 0.0000 0.5000  6 As 2.84-2.85